This record from Alexandria describes a relaxed RhW crystal. The functional is PBEsol.

Lattice parameters (Å, degrees): 3.8798 3.8798 5.2219 90.00 90.00 120.00
Positions (direct):
Rh (0.3333, 0.6667, 0.2500)
Rh (0.6667, 0.3333, 0.7500)
W (0.0000, 0.0000, 0.0000)
W (0.0000, 0.0000, 0.5000)

Results
E_form: 0.745 eV/atom